[1]
The following is a DFT calculation (PBE) of RbZr3Te6 after structural relaxation.

Uncorrected formation energy = -0.89 eV/atom

a = 12.9420 Å, b = 4.0252 Å, c = 13.0676 Å
α = 90.00°, β = 106.54°, γ = 90.00°
Last column: nearest neighbours and their distance in Å.
Positions (direct):
Rb  0.1096  0.2500  0.3824  8 Te 3.53-3.88
Rb  0.8904  0.7500  0.6176  8 Te 3.53-3.88
Zr  0.1484  0.2500  0.0402  6 Te 2.87-2.97
Zr  0.3031  0.7500  0.7315  6 Te 2.88-3.05
Zr  0.4740  0.7500  0.3564  6 Te 2.90-3.02
Zr  0.5260  0.2500  0.6436  6 Te 2.90-3.02
Zr  0.6968  0.2500  0.2685  6 Te 2.88-3.05
Zr  0.8516  0.7500  0.9598  6 Te 2.87-2.97
Te  0.0444  0.7500  0.1410  3 Zr 2.91-2.93
Te  0.1399  0.2500  0.6597  2 Zr 2.88
Te  0.2482  0.7500  0.9435  3 Zr 2.87-3.05
Te  0.3219  0.2500  0.2461  3 Zr 2.90-2.97
Te  0.3640  0.7500  0.5311  4 Zr 2.94-3.02
Te  0.4598  0.2500  0.8380  3 Zr 2.90-2.91
Te  0.5402  0.7500  0.1620  3 Zr 2.90-2.91
Te  0.6360  0.2500  0.4689  4 Zr 2.94-3.02
Te  0.6781  0.7500  0.7539  3 Zr 2.90-2.97
Te  0.7518  0.2500  0.0565  3 Zr 2.87-3.05
Te  0.8601  0.7500  0.3403  2 Zr 2.88
Te  0.9556  0.2500  0.8590  3 Zr 2.91-2.93

=====

[2]
The following is a DFT calculation (PBE) of RbZr12Te16 after structural relaxation.

Uncorrected formation energy = -0.96 eV/atom

a = 11.1945 Å, b = 11.1945 Å, c = 15.7992 Å
α = 90.00°, β = 90.00°, γ = 120.00°
Last column: nearest neighbours and their distance in Å.
Positions (direct):
Rb  0.0000  0.0000  0.2242  6 Te 3.65-3.92
Rb  0.0000  0.0000  0.7758  6 Te 3.65-3.92
Zr  0.1245  0.4926  0.1245  6 Te 2.91-3.03
Zr  0.1245  0.4926  0.8755  6 Te 2.91-3.03
Zr  0.1249  0.4929  0.3755  6 Te 2.91-3.03
Zr  0.1249  0.4929  0.6245  6 Te 2.91-3.03
Zr  0.3680  0.8751  0.3755  6 Te 2.91-3.03
Zr  0.3680  0.8751  0.6245  6 Te 2.91-3.03
Zr  0.3681  0.8755  0.1245  6 Te 2.91-3.03
Zr  0.3681  0.8755  0.8755  6 Te 2.91-3.03
Zr  0.4903  0.3659  0.2501  6 Te 2.89-3.01
Zr  0.4903  0.3659  0.7499  6 Te 2.89-3.01
Zr  0.4907  0.3655  0.5000  6 Te 2.91-3.01
Zr  0.4917  0.3665  0.0000  6 Te 2.91-3.02
Zr  0.5074  0.6319  0.1245  6 Te 2.91-3.03
Zr  0.5071  0.6320  0.3755  6 Te 2.91-3.03
Zr  0.5071  0.6320  0.6245  6 Te 2.91-3.03
Zr  0.5074  0.6319  0.8755  6 Te 2.91-3.03
Zr  0.6335  0.1252  0.0000  6 Te 2.91-3.02
Zr  0.6341  0.1244  0.2501  6 Te 2.89-3.01
Zr  0.6341  0.1244  0.7499  6 Te 2.89-3.01
Zr  0.6345  0.1252  0.5000  6 Te 2.91-3.01
Zr  0.8748  0.5083  0.0000  6 Te 2.91-3.02
Zr  0.8748  0.5093  0.5000  6 Te 2.91-3.01
Zr  0.8756  0.5097  0.2501  6 Te 2.89-3.01
Zr  0.8756  0.5097  0.7499  6 Te 2.89-3.01
Te  0.0559  0.7111  0.1244  4 Zr 2.91-3.03
Te  0.0559  0.7111  0.8756  4 Zr 2.91-3.03
Te  0.0559  0.7115  0.3754  4 Zr 2.91-3.03
Te  0.0559  0.7115  0.6246  4 Zr 2.91-3.03
Te  0.2885  0.3444  0.3754  4 Zr 2.91-3.03
Te  0.2885  0.3444  0.6246  4 Zr 2.91-3.03
Te  0.2889  0.3448  0.1244  4 Zr 2.91-3.03
Te  0.2889  0.3448  0.8756  4 Zr 2.91-3.03
Te  0.3333  0.6667  0.0000  6 Zr 2.93
Te  0.3333  0.6667  0.2499  6 Zr 2.94
Te  0.3333  0.6667  0.5000  6 Zr 2.93
Te  0.3333  0.6667  0.7501  6 Zr 2.94
Te  0.3464  0.0553  0.5000  4 Zr 2.91-3.01
Te  0.3457  0.0556  0.0000  4 Zr 2.91-3.02
Te  0.3483  0.0557  0.2504  4 Zr 2.89-3.01
Te  0.3483  0.0557  0.7496  4 Zr 2.89-3.01
Te  0.6552  0.9441  0.1244  4 Zr 2.91-3.03
Te  0.6552  0.9441  0.8756  4 Zr 2.91-3.03
Te  0.6556  0.9441  0.3754  4 Zr 2.91-3.03
Te  0.6556  0.9441  0.6246  4 Zr 2.91-3.03
Te  0.6667  0.3333  0.1252  6 Zr 2.93-2.94
Te  0.6667  0.3333  0.3750  6 Zr 2.94
Te  0.6667  0.3333  0.6250  6 Zr 2.94
Te  0.6667  0.3333  0.8748  6 Zr 2.93-2.94
Te  0.7073  0.6517  0.2504  4 Zr 2.89-3.01
Te  0.7073  0.6517  0.7496  4 Zr 2.89-3.01
Te  0.7089  0.6536  0.5000  4 Zr 2.91-3.01
Te  0.7099  0.6543  0.0000  4 Zr 2.91-3.02
Te  0.9444  0.2901  0.0000  4 Zr 2.91-3.02
Te  0.9443  0.2927  0.2504  4 Zr 2.89-3.01
Te  0.9443  0.2927  0.7496  4 Zr 2.89-3.01
Te  0.9447  0.2911  0.5000  4 Zr 2.91-3.01

=====

[3]
The following is a DFT calculation (PBE) of RbZr2Te4 after structural relaxation.

E above lowest polymorph = 130 meV per atom
Uncorrected formation energy = -0.85 eV/atom

a = 7.4748 Å, b = 7.4748 Å, c = 14.9470 Å
α = 90.00°, β = 90.00°, γ = 146.81°
Last column: nearest neighbours and their distance in Å.
Positions (direct):
Rb  0.1087  0.8913  0.7500  6 Te 3.53-3.54
Rb  0.8913  0.1087  0.2500  6 Te 3.53-3.54
Zr  0.3720  0.6280  0.5642  6 Te 2.84-2.97
Zr  0.3720  0.6280  0.9358  6 Te 2.84-2.97
Zr  0.6280  0.3720  0.0642  6 Te 2.84-2.97
Zr  0.6280  0.3720  0.4358  6 Te 2.84-2.97
Te  0.0000  0.0000  0.0000  4 Zr 2.97
Te  0.0000  0.0000  0.5000  4 Zr 2.97
Te  0.2651  0.7349  0.1050  3 Zr 2.96
Te  0.2651  0.7349  0.3950  3 Zr 2.96
Te  0.4128  0.5872  0.7500  2 Zr 2.84
Te  0.5872  0.4128  0.2500  2 Zr 2.84
Te  0.7349  0.2651  0.6050  3 Zr 2.96
Te  0.7349  0.2651  0.8950  3 Zr 2.96

=====

[4]
The following is a DFT calculation (PBE) of RbZrTe4 after structural relaxation.

E above lowest polymorph = 11 meV per atom
Uncorrected formation energy = -0.66 eV/atom

a = 8.8971 Å, b = 8.8971 Å, c = 7.2274 Å
α = 101.22°, β = 101.22°, γ = 120.79°
Last column: nearest neighbours and their distance in Å.
Positions (direct):
Rb  0.1370  0.8630  0.7500  6 Te 3.55-3.86
Rb  0.8630  0.1370  0.2500  6 Te 3.55-3.86
Zr  0.4999  0.5001  0.2500  8 Te 2.97-3.10
Zr  0.5001  0.4999  0.7500  8 Te 2.97-3.10
Te  0.1505  0.3125  0.8691  1 Te 2.87, 2 Zr 3.08-3.10
Te  0.2895  0.5872  0.4704  1 Te 2.87, 2 Zr 2.97
Te  0.3125  0.1505  0.3691  1 Te 2.87, 2 Zr 3.08-3.10
Te  0.4128  0.7105  0.0296  1 Te 2.87, 2 Zr 2.97
Te  0.5872  0.2895  0.9704  1 Te 2.87, 2 Zr 2.97
Te  0.6875  0.8495  0.6309  1 Te 2.87, 2 Zr 3.08-3.10
Te  0.7105  0.4128  0.5296  1 Te 2.87, 2 Zr 2.97
Te  0.8495  0.6875  0.1309  1 Te 2.87, 2 Zr 3.08-3.10

=====

[5]
The following is a DFT calculation (PBE) of Rb3ZrTe after structural relaxation.

E above lowest polymorph = 0 meV per atom
Uncorrected formation energy = 0.46 eV/atom

a = 6.9705 Å, b = 6.9705 Å, c = 6.9705 Å
α = 90.00°, β = 90.00°, γ = 90.00°
Last column: nearest neighbours and their distance in Å.
Positions (direct):
Rb  0.0000  0.0000  0.5000  2 Te 3.49
Rb  0.0000  0.5000  0.0000  2 Te 3.49
Rb  0.5000  0.0000  0.0000  2 Te 3.49
Zr  0.5000  0.5000  0.5000  12 Rb 4.93
Te  0.0000  0.0000  0.0000  6 Rb 3.49

=====

[6]
The following is a DFT calculation (PBE) of RbZr2Te after structural relaxation.

Uncorrected formation energy = 0.39 eV/atom

a = 11.3956 Å, b = 11.3956 Å, c = 11.3956 Å
α = 153.90°, β = 153.90°, γ = 37.25°
Last column: nearest neighbours and their distance in Å.
Positions (direct):
Rb  0.0000  0.0000  0.0000  4 Te 3.64, 4 Zr 3.75
Rb  0.7500  0.2500  0.5000  4 Te 3.64, 4 Zr 3.75
Zr  0.3142  0.6250  0.1892  2 Zr 2.65
Zr  0.3750  0.5642  0.6892  2 Zr 2.65
Zr  0.4358  0.1250  0.8108  2 Zr 2.65
Zr  0.8750  0.6858  0.3108  2 Zr 2.65
Te  0.2500  0.7500  0.5000  4 Zr 3.01
Te  0.5000  0.5000  0.0000  4 Zr 3.01

=====

[7]
The following is a DFT calculation (PBE) of RbZr6Te12 after structural relaxation.

Uncorrected formation energy = -0.67 eV/atom

a = 8.8488 Å, b = 8.8488 Å, c = 8.8488 Å
α = 107.91°, β = 107.91°, γ = 107.91°
Last column: nearest neighbours and their distance in Å.
Positions (direct):
Rb  0.0000  0.0000  0.0000  6 Te 3.69
Zr  0.2652  0.7140  0.7140  6 Te 2.84-3.11
Zr  0.2860  0.2860  0.7348  6 Te 2.84-3.11
Zr  0.2860  0.7348  0.2860  6 Te 2.84-3.11
Zr  0.7140  0.2652  0.7140  6 Te 2.84-3.11
Zr  0.7140  0.7140  0.2652  6 Te 2.84-3.11
Zr  0.7348  0.2860  0.2860  6 Te 2.84-3.11
Te  0.1161  0.5000  0.8839  4 Zr 3.00-3.08, 3 Te 3.32-3.35
Te  0.1161  0.8839  0.5000  4 Zr 3.00-3.08, 3 Te 3.32-3.35
Te  0.1377  0.4009  0.4009  2 Zr 2.84-3.11
Te  0.4009  0.1377  0.4009  2 Zr 2.84-3.11
Te  0.4009  0.4009  0.1377  2 Zr 2.84-3.11
Te  0.5000  0.1161  0.8839  4 Zr 3.00-3.08, 3 Te 3.32-3.35
Te  0.5000  0.8839  0.1161  4 Zr 3.00-3.08, 3 Te 3.32-3.35
Te  0.5991  0.5991  0.8623  2 Zr 2.84-3.11
Te  0.5991  0.8623  0.5991  2 Zr 2.84-3.11
Te  0.8623  0.5991  0.5991  2 Zr 2.84-3.11
Te  0.8839  0.1161  0.5000  4 Zr 3.00-3.08, 3 Te 3.32-3.35
Te  0.8839  0.5000  0.1161  4 Zr 3.00-3.08, 3 Te 3.32-3.35

=====

[8]
The following is a DFT calculation (PBE) of RbZrTe4 after structural relaxation.

E above lowest polymorph = 0 meV per atom
Uncorrected formation energy = -0.67 eV/atom

a = 9.1657 Å, b = 9.1657 Å, c = 6.4760 Å
α = 90.06°, β = 90.06°, γ = 62.57°
Last column: nearest neighbours and their distance in Å.
Positions (direct):
Rb  0.1683  0.1683  0.2243  8 Te 3.77-4.01
Rb  0.8317  0.8317  0.7757  8 Te 3.77-4.01
Zr  0.4856  0.4856  0.7375  7 Te 2.90-3.21, 1 Zr 3.11
Zr  0.5144  0.5144  0.2625  7 Te 2.90-3.21, 1 Zr 3.11
Te  0.1938  0.5737  0.4105  2 Zr 2.90-3.21, 1 Te 2.97
Te  0.2490  0.7510  0.0000  2 Zr 2.94, 2 Te 3.28
Te  0.2995  0.2995  0.7121  1 Zr 2.92, 2 Te 2.97
Te  0.4263  0.8062  0.5895  2 Zr 2.90-3.21, 1 Te 2.97
Te  0.5737  0.1938  0.4105  2 Zr 2.90-3.21, 1 Te 2.97
Te  0.7005  0.7005  0.2879  1 Zr 2.92, 2 Te 2.97
Te  0.7510  0.2490  0.0000  2 Zr 2.94, 2 Te 3.28
Te  0.8062  0.4263  0.5895  2 Zr 2.90-3.21, 1 Te 2.97